# 1
DFT (GGA-PBE) results for a relaxed structure of RuSeO2.

Cell and atoms, written as POSCAR:
```
RuSeO2
1.0
-2.9159 2.9159 4.1277
2.9159 -2.9159 4.1277
2.9159 2.9159 -4.1277
Ru Se O
2 2 4
direct
0.0000 0.0000 0.0000
0.7500 0.2500 0.5000
0.2500 0.7500 0.5000
0.5000 0.5000 0.0000
0.3750 0.2144 0.3394
0.7856 0.1250 0.1606
0.8750 0.0356 0.6606
0.9644 0.6250 0.8394
```

Values from the calculation:
As for the space group: I-42d. The spin magnetization is 0.000 μB per atom. Its total energy is -45.1 eV/cell.

=====

# 2
DFT (GGA-PBE) results for a relaxed structure of AsPt6Pb2.

Cell and atoms, written as POSCAR:
```
AsPt6Pb2
1.0
4.9273 -2.8342 0.0000
4.9273 2.8342 0.0000
-1.6912 0.0000 6.1121
As Pt Pb
1 6 2
direct
0.0000 0.0000 0.0000
0.1162 0.1162 0.6937
0.1162 0.6048 0.6913
0.3952 0.8838 0.3087
0.6048 0.1162 0.6913
0.8838 0.3952 0.3087
0.8838 0.8838 0.3063
0.3646 0.3646 0.1728
0.6354 0.6354 0.8272
```

Values from the calculation:
As for the space group: C2/m. For the formation energy, the calculation gives -1.37 eV/f.u. The spin magnetization is 0.000 μB per atom.

=====

# 3
DFT (GGA-PBE) results for a relaxed structure of Pm3Ga3Ge.

Cell and atoms, written as POSCAR:
```
Pm3Ga3Ge
1.0
-2.0885 2.1772 9.3452
2.0885 -2.1772 9.3452
2.0885 2.1772 -9.3452
Pm Ga Ge
3 3 1
direct
0.0000 0.0000 0.0000
0.1822 0.6822 0.5000
0.3684 0.3684 0.0000
0.5379 0.5379 0.0000
0.7514 0.2514 0.5000
0.8272 0.8272 0.0000
0.6187 0.1187 0.5000
```

Values from the calculation:
As for the space group: Imm2. For the formation energy, the calculation gives -4.86 eV/f.u. The spin magnetization is 0.070 μB per atom.

=====

# 4
DFT (GGA-PBE) results for a relaxed structure of TbPrAl2Si.

Cell and atoms, written as POSCAR:
```
TbPrAl2Si
1.0
-2.1839 2.2146 6.1118
2.1839 -2.2146 6.1118
2.1839 2.2146 -6.1118
Tb Pr Al Si
1 1 2 1
direct
0.0000 0.0000 0.0000
0.7418 0.2418 0.5000
0.3465 0.8465 0.5000
0.4911 0.4911 0.0000
0.1454 0.6454 0.5000
```

Values from the calculation:
As for the space group: Imm2. The spin magnetization is 0.000 μB per atom. Its total energy is -24.5 eV/cell.